1.
Na2Cd2Hg2Pb after structural relaxation. Source: Alexandria, functional PBE.

Summary:
Calculated total energy   -0.100 Ry per atom
Crystal system   trigonal

```
data_Na2Cd2Hg2Pb
_chemical_formula_sum 'Na6 Cd6 Hg6 Pb3'
_cell_length_a 5.0468
_cell_length_b 5.0468
_cell_length_c 26.2806
_cell_angle_alpha 90.00
_cell_angle_beta 90.00
_cell_angle_gamma 120.00
_symmetry_space_group_name_H-M 'R -3 m'
_symmetry_Int_Tables_number 166
_symmetry_space_group_name_Hall '-R 3 2"'
loop_
_atom_site_label
_atom_site_type_symbol
_atom_site_fract_x
_atom_site_fract_y
_atom_site_fract_z
Na1 Na 0.0000 0.0000 0.1288
Cd1 Cd 0.0000 0.0000 0.3878
Hg1 Hg 0.0000 0.0000 0.2493
Pb1 Pb 0.0000 0.0000 0.0000
```

---

2.
CeSmCd3 after structural relaxation. Source: Alexandria, functional PBE.

Summary:
ΔE to the lowest computed polymorph   0.00 kcal/mol of atoms
Calculated total energy   -0.215 Ry per atom
Crystal system   orthorhombic

```
data_CeSmCd3
_chemical_formula_sum 'Ce4 Sm4 Cd12'
_cell_length_a 3.3865
_cell_length_b 30.3314
_cell_length_c 5.0782
_cell_angle_alpha 90.00
_cell_angle_beta 90.00
_cell_angle_gamma 90.00
_symmetry_space_group_name_H-M 'C m c m'
_symmetry_Int_Tables_number 63
_symmetry_space_group_name_Hall '-C 2c 2'
loop_
_atom_site_label
_atom_site_type_symbol
_atom_site_fract_x
_atom_site_fract_y
_atom_site_fract_z
Ce1 Ce 0.0000 0.0736 0.2500
Sm1 Sm 0.0000 0.2142 0.7500
Cd1 Cd 0.0000 0.3261 0.7500
Cd2 Cd 0.0000 0.3792 0.2500
Cd3 Cd 0.0000 0.4761 0.2500
```